{
  "formula": "LaTb2MgTl4",
  "functional": "PBE",
  "state": "optimized geometry",
  "volume_a3_per_atom": 28.1,
  "space_group": "R-3m",
  "dos_ef_per_ev_cell": 5.37,
  "formation_energy_ev_per_atom": -0.31,
  "lattice": [[-1.132, 3.274, 4.018], [-1.524, -1.975, 4.682], [7.932, 0.121, 5.638]],
  "species": ["Tl", "Tl", "Tl", "La", "Tb", "Tl", "Mg", "Tb"],
  "frac_coords": [[0.126, 0.126, 0.622], [0.620, 0.620, 0.139], [0.380, 0.380, 0.861], [0.000, 0.000, 0.000], [0.242, 0.242, 0.274], [0.874, 0.874, 0.378], [0.500, 0.500, 0.500], [0.758, 0.758, 0.726]]
}